The following is a PBE with a Hubbard U calculation of crystalline MoPd3F at its relaxed geometry, from the Alexandria database.

a b c (Å): 4.9308 4.9308 4.9308
angles (deg): 90.00 90.00 90.00
Element x y z (fractional)
Mo  0.0000  0.0000  0.0000
Pd  0.0000  0.0000  0.5000
Pd  0.0000  0.5000  0.0000
Pd  0.5000  0.0000  0.0000
F  0.5000  0.5000  0.5000

Calculated values
Polymorph energy (0 for the lowest one), meV/atom: 748.8
ρ, g/cm³: 6.01